Computed, not measured: a relaxed structure of Be2NbIrRu at the PBE-GGA level of DFT.

The value obtained for the magnetic moment is 1.04 Bohr magnetons per cell. For the formation enthalpy at 0 K, the calculation gives 1769.7 meV per atom.

Cell lengths 4.3342, 4.5348, 4.3342 Å; angles 90.00, 90.00, 90.00 degrees
Last column: nearest neighbours and their distance in Å.
Element x y z (fractional)
Nb 0.0000 0.0000 0.0000  4 Be 2.17, 2 Ru 2.27
Be 0.0000 0.0000 0.5000  2 Nb 2.17
Be 0.5000 0.0000 0.0000  2 Nb 2.17
Ru 0.0000 0.5000 0.0000  2 Nb 2.27
Ir 0.5000 0.5000 0.5000  4 Ru 3.06, 8 Be 3.14

=====

Computed, not measured: a relaxed structure of BeCu2B2 at the PBE-GGA level of DFT.

The value obtained for the magnetic moment is 0.00 Bohr magnetons per cell. For the formation enthalpy at 0 K, the calculation gives 306.5 meV per atom. As for the energy above the lowest structure with this stoichiometry: 0 meV/atom.

Cell lengths 5.3046, 5.3046, 3.1813 Å; angles 90.00, 90.00, 90.00 degrees
Last column: nearest neighbours and their distance in Å.
Element x y z (fractional)
Cu 0.7020 0.7980 0.5000  6 B 2.13-2.34
Cu 0.2020 0.7020 0.5000  6 B 2.13-2.34
Cu 0.7980 0.2980 0.5000  6 B 2.13-2.34
Cu 0.2980 0.2020 0.5000  6 B 2.13-2.34
B 0.1083 0.3917 0.0000  1 B 1.63
B 0.6083 0.1083 0.0000  1 B 1.63
B 0.3917 0.8917 0.0000  1 B 1.63
B 0.8917 0.6083 0.0000  1 B 1.63
Be 0.5000 0.5000 0.0000  4 B 2.16
Be 0.0000 0.0000 0.0000  4 B 2.16

=====

Computed, not measured: a relaxed structure of AlNi5Pt4 at the PBE-GGA level of DFT.

The value obtained for the magnetic moment is 3.87 Bohr magnetons per cell. For the formation enthalpy at 0 K, the calculation gives -46.0 meV per atom.

Cell lengths 4.0057, 6.1167, 6.8805 Å; angles 115.14, 106.92, 90.00 degrees
Last column: nearest neighbours and their distance in Å.
Element x y z (fractional)
Ni 0.1952 0.1237 0.3903  3 Ni 2.41-2.61, 2 Pt 2.59-2.67
Ni 0.8351 0.2944 0.6702  3 Ni 2.41-2.61, 3 Pt 2.49-2.62
Ni 0.8048 0.8763 0.6097  3 Ni 2.41-2.61, 2 Pt 2.59-2.67
Ni 0.5000 0.5000 0.0000  6 Pt 2.58-2.59, 4 Ni 2.81
Ni 0.1649 0.7056 0.3298  3 Ni 2.41-2.61, 3 Pt 2.49-2.62
Pt 0.6742 0.4101 0.3485  7 Ni 2.51-2.75, 1 Al 2.54, 4 Pt 2.69-2.76
Pt 0.3258 0.5899 0.6515  7 Ni 2.51-2.75, 1 Al 2.54, 4 Pt 2.69-2.76
Pt 0.9867 0.7527 0.9734  2 Al 2.47, 5 Ni 2.49-2.67, 2 Pt 2.76
Pt 0.0133 0.2473 0.0266  2 Al 2.47, 5 Ni 2.49-2.67, 2 Pt 2.76
Al 0.5000 0.0000 0.0000  6 Pt 2.47-2.54

=====

Computed, not measured: a relaxed structure of NdNp2Ga9 at the PBE-GGA level of DFT.

The value obtained for the magnetic moment is 7.72 Bohr magnetons per cell. For the formation enthalpy at 0 K, the calculation gives -307.7 meV per atom.

Cell lengths 4.2963, 4.2963, 12.9422 Å; angles 90.00, 90.00, 90.00 degrees
Last column: nearest neighbours and their distance in Å.
Element x y z (fractional)
Ga 0.5000 0.5000 0.3354  8 Ga 3.00-3.02, 4 Np 3.04
Ga 0.5000 0.0000 0.1733  8 Ga 3.00-3.11, 2 Np 3.00, 2 Nd 3.11
Ga 0.5000 0.0000 0.8267  8 Ga 3.00-3.11, 2 Np 3.00, 2 Nd 3.11
Ga 0.5000 0.5000 0.0000  4 Nd 3.04, 8 Ga 3.11
Ga 0.0000 0.5000 0.1733  8 Ga 3.00-3.11, 2 Np 3.00, 2 Nd 3.11
Ga 0.5000 0.5000 0.6646  8 Ga 3.00-3.02, 4 Np 3.04
Ga 0.0000 0.5000 0.5000  4 Np 3.02, 8 Ga 3.02-3.04
Ga 0.0000 0.5000 0.8267  8 Ga 3.00-3.11, 2 Np 3.00, 2 Nd 3.11
Ga 0.5000 0.0000 0.5000  4 Np 3.02, 8 Ga 3.02-3.04
Nd 0.0000 0.0000 0.0000  12 Ga 3.04-3.11
Np 0.0000 0.0000 0.6646  12 Ga 3.00-3.04
Np 0.0000 0.0000 0.3354  12 Ga 3.00-3.04

=====

Computed, not measured: a relaxed structure of Tl3Co2AgBr8 at the PBE-GGA level of DFT.

Its formation energy (no corrections) is -499.9 meV per atom. The value obtained for the magnetic moment is 6.00 Bohr magnetons per cell.

Cell lengths 7.6353, 7.6353, 9.2981 Å; angles 90.00, 90.00, 120.00 degrees
Last column: nearest neighbours and their distance in Å.
Element x y z (fractional)
Br 0.3333 0.6667 0.9549  1 Co 2.35
Br 0.1650 0.8350 0.3032  1 Co 2.40
Br 0.8350 0.1650 0.6968  1 Co 2.40
Br 0.6667 0.3333 0.0451  1 Co 2.35
Br 0.6699 0.8350 0.3032  1 Co 2.40
Br 0.1650 0.3301 0.3032  1 Co 2.40
Br 0.8350 0.6699 0.6968  1 Co 2.40
Br 0.3301 0.1650 0.6968  1 Co 2.40
Tl 0.0000 0.0000 0.0000  6 Br 3.57
Tl 0.3333 0.6667 0.6201  1 Br 3.11
Tl 0.6667 0.3333 0.3799  1 Br 3.11
Co 0.6667 0.3333 0.7927  4 Br 2.35-2.40
Co 0.3333 0.6667 0.2073  4 Br 2.35-2.40
Ag 0.0000 0.0000 0.5000  6 Br 2.85

=====

Computed, not measured: a relaxed structure of Tb3Tm3Pd4 at the PBE-GGA level of DFT.

The value obtained for the magnetic moment is 0.00 Bohr magnetons per cell. For the formation enthalpy at 0 K, the calculation gives -748.3 meV per atom.

Cell lengths 3.9718, 7.7384, 7.7384 Å; angles 89.43, 90.00, 90.00 degrees
Last column: nearest neighbours and their distance in Å.
Element x y z (fractional)
Tm 0.0000 0.4987 0.9999  4 Pd 2.98-3.05
Tm 0.0000 0.0001 0.5013  4 Pd 2.98-3.05
Tm 0.5000 0.1663 0.8337  6 Pd 2.92-3.04
Pd 0.0000 0.1353 0.1292  1 Pd 2.91, 4 Tm 2.98-3.05, 4 Tb 2.98-3.06
Pd 0.0000 0.6328 0.3672  1 Pd 2.94, 6 Tb 2.97-3.06, 2 Tm 3.04
Pd 0.0000 0.8708 0.8647  1 Pd 2.91, 4 Tm 2.98-3.05, 4 Tb 2.98-3.06
Pd 0.0000 0.3625 0.6375  4 Tm 2.92-3.01, 1 Pd 2.94, 4 Tb 3.08
Tb 0.5000 0.6646 0.6665  6 Pd 2.98-3.08
Tb 0.5000 0.8355 0.1645  6 Pd 2.97-3.06
Tb 0.5000 0.3335 0.3354  6 Pd 2.98-3.08

=====

Number 1: raw total energy -5.3621 eV/atom. Number 2: raw total energy -4.7482 eV/atom. Number 3: raw total energy -5.7272 eV/atom. Number 4: raw total energy -5.1320 eV/atom. Number 5: raw total energy -3.1817 eV/atom. Number 6: raw total energy -5.5560 eV/atom.